An optimized crystal structure of RbNa2La. Source: Alexandria, functional PBE.

The calculation puts the electronic total energy at -1.60 eV/atom. The calculation puts the calculated volume at 40.8 Å³ per atom. The calculation puts the calculated density at 2.75 g cm⁻³. For the formation energy, the calculation gives 0.535 eV per atom.

abc: 9.3316 9.3316 7.5033
angles: 90.00 90.00 90.00
Space group I-42d (No. 122)
Unique sites:
Rb: 0.0000 0.0000 0.0000 x4
Na: 0.2397 0.2500 0.1250 x8
La: 0.0000 0.0000 0.5000 x4